A relaxed structure of CaSiO3. Source: Alexandria, functional GGA-PBEsol.

a b c (Å): 5.918 7.141 11.719
angles (deg): 98.31 90.00 90.00
Fractional positions:
Ca  0.926  0.406  0.149
Ca  0.574  0.906  0.649
Ca  0.107  0.090  0.875
Ca  0.393  0.590  0.375
Ca  0.426  0.094  0.351
Ca  0.074  0.594  0.851
Ca  0.893  0.910  0.125
Ca  0.607  0.410  0.625
Si  0.655  0.320  0.875
Si  0.411  0.242  0.093
Si  0.845  0.820  0.375
Si  0.155  0.180  0.625
Si  0.089  0.742  0.593
Si  0.911  0.258  0.407
Si  0.589  0.758  0.907
Si  0.345  0.680  0.125
O  0.062  0.769  0.455
O  0.562  0.731  0.045
O  0.832  0.862  0.905
O  0.888  0.036  0.337
O  0.388  0.464  0.163
O  0.438  0.269  0.955
O  0.668  0.362  0.405
O  0.168  0.138  0.095
O  0.328  0.816  0.245
O  0.612  0.536  0.837
O  0.119  0.660  0.048
O  0.381  0.160  0.548
O  0.129  0.340  0.350
O  0.672  0.184  0.755
O  0.629  0.160  0.150
O  0.332  0.638  0.595
O  0.112  0.964  0.663
O  0.172  0.316  0.745
O  0.371  0.840  0.850
O  0.938  0.231  0.545
O  0.881  0.340  0.952
O  0.619  0.840  0.452
O  0.828  0.684  0.255
O  0.871  0.660  0.650

Output
For the total energy, the calculation gives -7.749 eV per atom. The formation energy from raw total energies comes out at -15.1 eV per formula unit. The space-group type is P2_1/c, No. 14.

A relaxed structure of Ca3SiO5. Source: Alexandria, functional GGA-PBEsol.

a b c (Å): 7.082 7.082 9.472
angles (deg): 68.05 68.05 60.00
Fractional positions:
Ca  0.281  0.281  0.679
Ca  0.281  0.759  0.679
Ca  0.710  0.710  0.322
Ca  0.710  0.258  0.322
Ca  0.502  0.502  0.012
Ca  0.502  0.984  0.012
Ca  0.258  0.710  0.322
Ca  0.759  0.281  0.679
Ca  0.984  0.502  0.012
O  0.849  0.849  0.453
O  0.498  0.498  0.507
O  0.366  0.366  0.279
O  0.366  0.988  0.279
O  0.988  0.366  0.279
O  0.063  0.063  0.812
O  0.156  0.156  0.532
O  0.616  0.616  0.151
O  0.369  0.369  0.892
O  0.853  0.853  0.062
O  0.853  0.232  0.062
O  0.013  0.635  0.717
O  0.232  0.853  0.062
O  0.635  0.013  0.717
O  0.635  0.635  0.717
Si  0.999  0.999  0.002
Si  0.219  0.219  0.342
Si  0.784  0.784  0.649

Output
For the total energy, the calculation gives -7.292 eV per atom. The formation energy from raw total energies comes out at -27.2 eV per formula unit. The space-group type is R3m, No. 160.

A relaxed structure of CaSiO3. Source: Alexandria, functional GGA-PBEsol.

a b c (Å): 6.641 6.689 9.281
angles (deg): 69.66 83.54 75.99
Fractional positions:
Ca  0.926  0.579  0.664
Ca  0.074  0.421  0.336
Ca  0.589  0.234  0.647
Ca  0.411  0.766  0.353
Ca  0.762  0.745  0.999
Ca  0.238  0.255  0.001
Si  0.041  0.023  0.698
Si  0.959  0.977  0.302
Si  0.270  0.774  0.984
Si  0.730  0.226  0.016
Si  0.392  0.661  0.706
Si  0.608  0.339  0.294
O  0.245  0.903  0.612
O  0.755  0.097  0.388
O  0.953  0.272  0.595
O  0.047  0.728  0.405
O  0.857  0.889  0.736
O  0.143  0.111  0.264
O  0.135  0.007  0.863
O  0.865  0.993  0.137
O  0.613  0.155  0.905
O  0.387  0.845  0.095
O  0.873  0.402  0.939
O  0.127  0.598  0.061
O  0.734  0.531  0.256
O  0.266  0.469  0.744
O  0.412  0.384  0.407
O  0.588  0.616  0.593
O  0.544  0.310  0.135
O  0.456  0.690  0.865

Output
For the total energy, the calculation gives -7.766 eV per atom. The formation energy from raw total energies comes out at -15.2 eV per formula unit. The space-group type is P-1, No. 2.

A relaxed structure of Ca2SiO4. Source: Alexandria, functional GGA-PBEsol.

a b c (Å): 5.533 5.995 12.032
angles (deg): 90.00 95.39 90.00
Fractional positions:
Ca  0.241  0.344  0.509
Ca  0.759  0.844  0.991
Ca  0.759  0.656  0.491
Ca  0.241  0.156  0.009
Ca  0.258  0.910  0.697
Ca  0.742  0.410  0.803
Ca  0.742  0.090  0.303
Ca  0.258  0.590  0.197
O  0.118  0.048  0.401
O  0.882  0.548  0.099
O  0.882  0.952  0.599
O  0.118  0.452  0.901
O  0.074  0.605  0.370
O  0.926  0.105  0.130
O  0.926  0.395  0.630
O  0.074  0.895  0.870
O  0.494  0.798  0.337
O  0.506  0.298  0.163
O  0.506  0.202  0.663
O  0.494  0.702  0.837
O  0.366  0.731  0.540
O  0.634  0.231  0.960
O  0.634  0.269  0.460
O  0.366  0.769  0.040
Si  0.260  0.812  0.413
Si  0.740  0.312  0.087
Si  0.740  0.188  0.587
Si  0.260  0.688  0.913

Output
For the total energy, the calculation gives -7.459 eV per atom. The formation energy from raw total energies comes out at -21.2 eV per formula unit. The space-group type is P2_1/c, No. 14.

A relaxed structure of Ca5Si6O18. Source: Alexandria, functional GGA-PBEsol.

a b c (Å): 6.718 6.731 9.437
angles (deg): 97.67 94.47 114.07
Fractional positions:
Ca  0.566  0.254  0.137
Ca  0.437  0.745  0.863
Ca  0.064  0.065  0.499
Ca  0.064  0.751  0.131
Ca  0.936  0.251  0.867
Si  0.697  0.329  0.559
Si  0.299  0.667  0.441
Si  0.946  0.759  0.783
Si  0.052  0.241  0.215
Si  0.382  0.189  0.782
Si  0.619  0.809  0.221
O  0.850  0.213  0.615
O  0.152  0.789  0.385
O  0.553  0.139  0.883
O  0.451  0.862  0.117
O  0.315  0.377  0.855
O  0.685  0.622  0.142
O  0.807  0.870  0.868
O  0.198  0.134  0.136
O  0.343  0.699  0.615
O  0.649  0.295  0.385
O  0.452  0.231  0.619
O  0.535  0.756  0.376
O  0.805  0.595  0.630
O  0.182  0.394  0.376
O  0.141  0.967  0.725
O  0.858  0.032  0.274
O  0.055  0.642  0.883
O  0.949  0.363  0.116

Output
For the total energy, the calculation gives -7.622 eV per atom. The formation energy from raw total energies comes out at -81.4 eV per formula unit. The space-group type is P1, No. 1.

Number 1: Fermi-level density of states 0.00 states/eV/f.u.. Number 2: Fermi-level density of states 0.00 states/eV/f.u.. Number 3: Fermi-level density of states 0.00 states/eV/f.u.. Number 4: Fermi-level density of states 0.00 states/eV/f.u.. Number 5: Fermi-level density of states 16.36 states/eV/f.u..